Crystalline Sb3PCl at its relaxed geometry, computed with GGA-PBE.

Structure (CIF):
```
data_Sb3PCl
_chemical_formula_sum 'Sb3 P1 Cl1'
_symmetry_space_group_name_H-M 'P 1'
_symmetry_Int_Tables_number 1
_symmetry_space_group_name_Hall 'P 1'
_cell_length_a 5.256
_cell_length_b 5.256
_cell_length_c 5.256
_cell_angle_alpha 90.00
_cell_angle_beta 90.00
_cell_angle_gamma 90.00
loop_
_atom_site_label
_atom_site_type_symbol
_atom_site_fract_x
_atom_site_fract_y
_atom_site_fract_z
_atom_site_occupancy
P1 P 0.000 0.000 0.000 1
Sb1 Sb 0.000 0.000 0.500 1
Sb2 Sb 0.000 0.500 0.000 1
Sb3 Sb 0.500 0.000 0.000 1
Cl1 Cl 0.500 0.500 0.500 1
```

Crystalline SbPCl2 at its relaxed geometry, computed with GGA-PBE.

Structure (CIF):
```
data_SbPCl2
_chemical_formula_sum 'Sb1 P1 Cl2'
_symmetry_space_group_name_H-M 'P 1'
_symmetry_Int_Tables_number 1
_symmetry_space_group_name_Hall 'P 1'
_cell_length_a 5.407
_cell_length_b 5.407
_cell_length_c 3.118
_cell_angle_alpha 90.00
_cell_angle_beta 90.00
_cell_angle_gamma 111.94
loop_
_atom_site_label
_atom_site_type_symbol
_atom_site_fract_x
_atom_site_fract_y
_atom_site_fract_z
_atom_site_occupancy
Cl1 Cl 0.000 0.000 0.000 1
Cl2 Cl 0.500 0.500 0.000 1
P1 P 0.500 0.000 0.500 1
Sb1 Sb 0.000 0.500 0.500 1
```

Crystalline SbP2SeCl at its relaxed geometry, computed with GGA-PBE.

Structure (CIF):
```
data_SbP2SeCl
_chemical_formula_sum 'Sb1 P2 Se1 Cl1'
_symmetry_space_group_name_H-M 'P 1'
_symmetry_Int_Tables_number 1
_symmetry_space_group_name_Hall 'P 1'
_cell_length_a 4.933
_cell_length_b 4.933
_cell_length_c 4.715
_cell_angle_alpha 90.00
_cell_angle_beta 90.00
_cell_angle_gamma 90.00
loop_
_atom_site_label
_atom_site_type_symbol
_atom_site_fract_x
_atom_site_fract_y
_atom_site_fract_z
_atom_site_occupancy
Cl1 Cl 0.000 0.000 0.500 1
Sb1 Sb 0.500 0.500 0.500 1
Se1 Se 0.000 0.000 0.000 1
P1 P 0.500 0.000 0.000 1
P2 P 0.000 0.500 0.000 1
```

Crystalline SbP2SeCl at its relaxed geometry, computed with GGA-PBE.

Structure (CIF):
```
data_SbP2SeCl
_chemical_formula_sum 'Sb1 P2 Se1 Cl1'
_symmetry_space_group_name_H-M 'P 1'
_symmetry_Int_Tables_number 1
_symmetry_space_group_name_Hall 'P 1'
_cell_length_a 5.171
_cell_length_b 5.171
_cell_length_c 4.952
_cell_angle_alpha 90.00
_cell_angle_beta 90.00
_cell_angle_gamma 90.00
loop_
_atom_site_label
_atom_site_type_symbol
_atom_site_fract_x
_atom_site_fract_y
_atom_site_fract_z
_atom_site_occupancy
Cl1 Cl 0.000 0.000 0.500 1
P1 P 0.500 0.000 0.000 1
P2 P 0.000 0.500 0.000 1
Sb1 Sb 0.000 0.000 0.000 1
Se1 Se 0.500 0.500 0.500 1
```

Crystalline SrSbPCl2 at its relaxed geometry, computed with GGA-PBE.

Structure (CIF):
```
data_SrSbPCl2
_chemical_formula_sum 'Sr1 Sb1 P1 Cl2'
_symmetry_space_group_name_H-M 'P 1'
_symmetry_Int_Tables_number 1
_symmetry_space_group_name_Hall 'P 1'
_cell_length_a 5.278
_cell_length_b 5.278
_cell_length_c 6.287
_cell_angle_alpha 90.00
_cell_angle_beta 90.00
_cell_angle_gamma 90.00
loop_
_atom_site_label
_atom_site_type_symbol
_atom_site_fract_x
_atom_site_fract_y
_atom_site_fract_z
_atom_site_occupancy
Sb1 Sb 0.500 0.500 0.500 1
Cl1 Cl 0.500 0.000 0.000 1
Cl2 Cl 0.000 0.500 0.000 1
P1 P 0.000 0.000 0.500 1
Sr1 Sr 0.000 0.000 0.000 1
```

Crystalline SrSbP2Cl at its relaxed geometry, computed with GGA-PBE.

Structure (CIF):
```
data_SrSbP2Cl
_chemical_formula_sum 'Sr1 Sb1 P2 Cl1'
_symmetry_space_group_name_H-M 'P 1'
_symmetry_Int_Tables_number 1
_symmetry_space_group_name_Hall 'P 1'
_cell_length_a 5.098
_cell_length_b 5.098
_cell_length_c 5.381
_cell_angle_alpha 90.00
_cell_angle_beta 90.00
_cell_angle_gamma 90.00
loop_
_atom_site_label
_atom_site_type_symbol
_atom_site_fract_x
_atom_site_fract_y
_atom_site_fract_z
_atom_site_occupancy
Sr1 Sr 0.500 0.500 0.500 1
Sb1 Sb 0.000 0.000 0.000 1
P1 P 0.000 0.500 0.000 1
P2 P 0.500 0.000 0.000 1
Cl1 Cl 0.000 0.000 0.500 1
```

Crystalline SrSbP2Cl at its relaxed geometry, computed with GGA-PBE.

Structure (CIF):
```
data_SrSbP2Cl
_chemical_formula_sum 'Sr1 Sb1 P2 Cl1'
_symmetry_space_group_name_H-M 'P 1'
_symmetry_Int_Tables_number 1
_symmetry_space_group_name_Hall 'P 1'
_cell_length_a 5.876
_cell_length_b 5.876
_cell_length_c 5.265
_cell_angle_alpha 90.00
_cell_angle_beta 90.00
_cell_angle_gamma 90.00
loop_
_atom_site_label
_atom_site_type_symbol
_atom_site_fract_x
_atom_site_fract_y
_atom_site_fract_z
_atom_site_occupancy
Cl1 Cl 0.000 0.000 0.500 1
Sr1 Sr 0.000 0.000 0.000 1
Sb1 Sb 0.500 0.500 0.500 1
P1 P 0.500 0.000 0.000 1
P2 P 0.000 0.500 0.000 1
```

Crystalline SrSbPCl2 at its relaxed geometry, computed with GGA-PBE.

Structure (CIF):
```
data_SrSbPCl2
_chemical_formula_sum 'Sr1 Sb1 P1 Cl2'
_symmetry_space_group_name_H-M 'P 1'
_symmetry_Int_Tables_number 1
_symmetry_space_group_name_Hall 'P 1'
_cell_length_a 5.338
_cell_length_b 5.338
_cell_length_c 5.239
_cell_angle_alpha 90.00
_cell_angle_beta 90.00
_cell_angle_gamma 90.00
loop_
_atom_site_label
_atom_site_type_symbol
_atom_site_fract_x
_atom_site_fract_y
_atom_site_fract_z
_atom_site_occupancy
P1 P 0.000 0.000 0.500 1
Cl1 Cl 0.500 0.000 0.000 1
Cl2 Cl 0.000 0.500 0.000 1
Sr1 Sr 0.500 0.500 0.500 1
Sb1 Sb 0.000 0.000 0.000 1
```

Crystalline TaSbPCl2 at its relaxed geometry, computed with GGA-PBE.

Structure (CIF):
```
data_TaSbPCl2
_chemical_formula_sum 'Ta1 Sb1 P1 Cl2'
_symmetry_space_group_name_H-M 'P 1'
_symmetry_Int_Tables_number 1
_symmetry_space_group_name_Hall 'P 1'
_cell_length_a 4.740
_cell_length_b 4.740
_cell_length_c 5.179
_cell_angle_alpha 90.00
_cell_angle_beta 90.00
_cell_angle_gamma 90.00
loop_
_atom_site_label
_atom_site_type_symbol
_atom_site_fract_x
_atom_site_fract_y
_atom_site_fract_z
_atom_site_occupancy
Ta1 Ta 0.000 0.000 0.000 1
P1 P 0.000 0.000 0.500 1
Cl1 Cl 0.500 0.000 0.000 1
Cl2 Cl 0.000 0.500 0.000 1
Sb1 Sb 0.500 0.500 0.500 1
```

Crystalline TaSbPCl2 at its relaxed geometry, computed with GGA-PBE.

Structure (CIF):
```
data_TaSbPCl2
_chemical_formula_sum 'Ta1 Sb1 P1 Cl2'
_symmetry_space_group_name_H-M 'P 1'
_symmetry_Int_Tables_number 1
_symmetry_space_group_name_Hall 'P 1'
_cell_length_a 5.034
_cell_length_b 5.034
_cell_length_c 5.417
_cell_angle_alpha 90.00
_cell_angle_beta 90.00
_cell_angle_gamma 90.00
loop_
_atom_site_label
_atom_site_type_symbol
_atom_site_fract_x
_atom_site_fract_y
_atom_site_fract_z
_atom_site_occupancy
Sb1 Sb 0.000 0.000 0.000 1
Cl1 Cl 0.000 0.500 0.000 1
Cl2 Cl 0.500 0.000 0.000 1
P1 P 0.000 0.000 0.500 1
Ta1 Ta 0.500 0.500 0.500 1
```

Crystalline TcSbP2Cl at its relaxed geometry, computed with GGA-PBE.

Structure (CIF):
```
data_TcSbP2Cl
_chemical_formula_sum 'Tc1 Sb1 P2 Cl1'
_symmetry_space_group_name_H-M 'P 1'
_symmetry_Int_Tables_number 1
_symmetry_space_group_name_Hall 'P 1'
_cell_length_a 4.608
_cell_length_b 4.608
_cell_length_c 4.960
_cell_angle_alpha 90.00
_cell_angle_beta 90.00
_cell_angle_gamma 90.00
loop_
_atom_site_label
_atom_site_type_symbol
_atom_site_fract_x
_atom_site_fract_y
_atom_site_fract_z
_atom_site_occupancy
P1 P 0.500 0.000 0.000 1
P2 P 0.000 0.500 0.000 1
Tc1 Tc 0.000 0.000 0.000 1
Cl1 Cl 0.000 0.000 0.500 1
Sb1 Sb 0.500 0.500 0.500 1
```

Crystalline TcSbP2Cl at its relaxed geometry, computed with GGA-PBE.

Structure (CIF):
```
data_TcSbP2Cl
_chemical_formula_sum 'Tc1 Sb1 P2 Cl1'
_symmetry_space_group_name_H-M 'P 1'
_symmetry_Int_Tables_number 1
_symmetry_space_group_name_Hall 'P 1'
_cell_length_a 5.095
_cell_length_b 5.095
_cell_length_c 5.031
_cell_angle_alpha 90.00
_cell_angle_beta 90.00
_cell_angle_gamma 90.00
loop_
_atom_site_label
_atom_site_type_symbol
_atom_site_fract_x
_atom_site_fract_y
_atom_site_fract_z
_atom_site_occupancy
Cl1 Cl 0.000 0.000 0.500 1
Tc1 Tc 0.500 0.500 0.500 1
Sb1 Sb 0.000 0.000 0.000 1
P1 P 0.500 0.000 0.000 1
P2 P 0.000 0.500 0.000 1
```

no.,raw formation energy (meV per atom),V (Å³/cell)
1,492,145.2
2,448,84.6
3,733,114.8
4,904,132.4
5,-258,175.2
6,-246,139.9
7,544,181.8
8,-666,149.3
9,44,116.4
10,1086,137.3
11,404,105.3
12,1322,130.6